This record from Alexandria via LeMat-Bulk describes a relaxed structure of Mn2VInO6. The functional is GGA+U.

Results
volume = 115.78 Å³ per cell
final energy = -7.1943 eV/atom
M_tot = 10.0 μB/cell
space group = P1

Cell: 5.1798 5.2827 5.6269 Å, 117.76 90.01 117.80°
Fractional positions:
Mn (0.0000, 0.0000, 0.0000)
Mn (0.4932, 0.9796, 0.4600)
V (0.7946, 0.5726, 0.3736)
In (0.2873, 0.5537, 0.8312)
O (0.0371, 0.4742, 0.1653)
O (0.1935, 0.0556, 0.6505)
O (0.4212, 0.1208, 0.2019)
O (0.6007, 0.7910, 0.6483)
O (0.6723, 0.7605, 0.1789)
O (0.8816, 0.4837, 0.6599)